Record 1
# CaEr2Sn

A relaxed CaEr2Sn crystal (PBE, the Alexandria database).

Computed properties:
Total magnetization ... 0.00 μB/cell
Offset from the most stable computed form ... 0.000 kcal/mol of atoms
ρ ... 7.23 g/cm3
Total energy ... -16.47 eV per cell
Energy of formation from the pure elements ... -1.3 eV per formula unit

Cell and atoms, written as POSCAR:
```
CaEr2Sn
1.0
-2.529 4.038 0.025
-4.131 -2.586 -0.175
-0.134 -0.115 4.874
Er Ca Sn
2 1 1
direct
0.000 0.500 0.000
0.000 0.000 0.500
0.500 0.500 0.500
0.500 0.000 0.000
```

---

Record 2
# Sc2BeNb

A relaxed Sc2BeNb crystal (PBE, the Alexandria database).

Computed properties:
Total magnetization ... 0.52 μB/cell
ρ ... 4.11 g/cm3
Total energy ... -24.46 eV per cell
Energy of formation from the pure elements ... 2.0 eV per formula unit

Cell and atoms, written as POSCAR:
```
Sc2BeNb
1.0
4.917 3.466 7.794
6.855 1.283 6.950
6.991 4.023 5.645
Sc Nb Be
2 1 1
direct
0.098 0.098 0.098
0.902 0.902 0.902
0.000 0.000 0.000
0.500 0.500 0.500
```

---

Record 3
# RbHfI2O8

A relaxed RbHfI2O8 crystal (PBE, the Alexandria database).

Computed properties:
Total magnetization ... 0.81 μB/cell
ρ ... 5.05 g/cm3
Formation energy without anion corrections ... -1154 meV/atom
Total energy ... -67.53 eV per cell

Cell and atoms, written as POSCAR:
```
RbHfI2O8
1.0
5.783 0.000 0.000
2.891 5.769 0.595
2.891 2.834 6.651
Hf O Rb I
1 8 1 2
direct
0.000 0.000 0.000
0.903 0.396 0.797
0.678 0.537 0.108
0.857 0.972 0.802
0.097 0.604 0.203
0.369 0.972 0.802
0.631 0.028 0.198
0.322 0.463 0.892
0.143 0.028 0.198
0.500 0.500 0.500
0.280 0.265 0.174
0.720 0.735 0.826
```

---

- The lowest total energy belongs to which entry?
  RbHfI2O8

---

- Which of these has the lowest total energy?
  RbHfI2O8

---

- Which formula does entry 2 have?
  Sc2BeNb

---

- Which formula does entry 3 have?
  RbHfI2O8